A relaxed structure of LiP4Br, computed with PBE-GGA.

Values from the calculation:
Raw formation energy   -117 meV per atom
Spin magnetization   0.00 μB/f.u.
Final energy   -4.3212 eV/atom
ρ   2239 kg/m3

Lattice parameters (Å, degrees): 8.551 8.551 8.551 90.00 90.00 90.00
Space group F-43m (No. 216)
One atom of each set of equivalent atoms:
Li 0.000 0.000 0.000
P 0.091 0.091 0.591
Br 0.250 0.250 0.250



A relaxed structure of LiPBr, computed with PBE-GGA.

Values from the calculation:
Raw formation energy   181 meV per atom
Spin magnetization   0.00 μB/f.u.
Energy above the most stable polymorph in this dataset   989 meV/atom
Final energy   -2.8181 eV/atom
ρ   3204 kg/m3

Lattice parameters (Å, degrees): 6.251 6.251 6.251 90.00 90.00 90.00
Space group F-43m (No. 216)
One atom of each set of equivalent atoms:
Li 0.000 0.000 0.000
P 0.250 0.250 0.250
Br 0.250 0.250 0.750



A relaxed structure of LiP2Br8, computed with PBE-GGA.

Values from the calculation:
Raw formation energy   -417 meV per atom
Spin magnetization   0.00 μB/f.u.
Final energy   -2.7917 eV/atom
ρ   2651 kg/m3

Lattice parameters (Å, degrees): 10.149 11.680 7.865 90.00 107.93 90.00
Space group C2/m (No. 12)
One atom of each set of equivalent atoms:
Li 0.000 0.000 0.000
P 0.225 0.000 0.633
Br 0.044 0.500 0.275
Br 0.170 0.153 0.778
Br 0.213 0.000 0.251



A relaxed structure of LiPBr2, computed with PBE-GGA.

Values from the calculation:
Raw formation energy   97 meV per atom
Spin magnetization   0.00 μB/f.u.
Energy above the most stable polymorph in this dataset   461 meV/atom
Final energy   -2.5708 eV/atom
ρ   3758 kg/m3

Lattice parameters (Å, degrees): 7.044 7.044 7.044 90.00 90.00 90.00
Space group Fm-3m (No. 225)
One atom of each set of equivalent atoms:
Li 0.000 0.000 0.000
P 0.000 0.000 0.500
Br 0.250 0.250 0.250



A relaxed structure of LiPBr2, computed with PBE-GGA.

Values from the calculation:
Raw formation energy   46 meV per atom
Spin magnetization   0.00 μB/f.u.
Energy above the most stable polymorph in this dataset   410 meV/atom
Final energy   -2.6216 eV/atom
ρ   3965 kg/m3

Lattice parameters (Å, degrees): 3.381 3.381 7.241 90.00 90.00 90.00
Space group P4/mmm (No. 123)
One atom of each set of equivalent atoms:
Li 0.000 0.000 0.000
P 0.000 0.000 0.500
Br 0.500 0.500 0.228



A relaxed structure of LiPBr2, computed with PBE-GGA.

Values from the calculation:
Raw formation energy   -172 meV per atom
Spin magnetization   0.00 μB/f.u.
Energy above the most stable polymorph in this dataset   192 meV/atom
Final energy   -2.8398 eV/atom
ρ   3194 kg/m3

Lattice parameters (Å, degrees): 3.766 7.167 7.617 90.00 90.00 90.00
Space group Immm (No. 71)
One atom of each set of equivalent atoms:
Li 0.000 0.000 0.000
P 0.000 0.000 0.500
Br 0.000 0.500 0.243



A relaxed structure of LiPBr, computed with PBE-GGA.

Values from the calculation:
Raw formation energy   -808 meV per atom
Spin magnetization   0.00 μB/f.u.
Energy above the most stable polymorph in this dataset   0 meV/atom
Final energy   -3.8068 eV/atom
ρ   2634 kg/m3

Lattice parameters (Å, degrees): 3.930 3.442 11.149 90.00 99.90 90.00
Space group P2_1/m (No. 11)
One atom of each set of equivalent atoms:
Li 0.200 0.250 0.397
P 0.167 0.750 0.000
Br 0.317 0.250 0.638



A relaxed structure of LiPBr2, computed with PBE-GGA.

Values from the calculation:
Raw formation energy   -247 meV per atom
Spin magnetization   0.68 μB/f.u.
Energy above the most stable polymorph in this dataset   117 meV/atom
Final energy   -2.9145 eV/atom
ρ   2854 kg/m3

Lattice parameters (Å, degrees): 3.705 3.765 8.248 90.00 90.00 90.00
Space group Pmmm (No. 47)
One atom of each set of equivalent atoms:
Li 0.000 0.000 0.000
P 0.500 0.000 0.500
Br 0.000 0.500 0.500
Br 0.500 0.500 0.000